Compound: LaReRh2
Source: Alexandria
Functional: GGA-PBE
Structure: optimized geometry

a b c (Å): 4.989 4.989 2.933
angles (deg): 90.00 90.00 106.37
Atoms (fractional coordinates):
La: 0.000 0.000 0.000
Re: 0.500 0.500 0.000
Rh: 0.000 0.500 0.500
Rh: 0.500 0.000 0.500

DFT formation energy: 46.3 meV/atom
Symmetry: No. 65
Volume: 17.5 Å³/atom
M_tot: 0.239 Bohr magnetons per cell
Offset from the most stable computed form: 91 meV/atom
Calculated total energy: -31.893 eV per formula unit
Crystal system: orthorhombic

***

Compound: LaReSb2Rh
Source: Alexandria
Functional: GGA-PBE
Structure: optimized geometry

a b c (Å): 5.087 5.087 5.175
angles (deg): 90.00 90.00 90.00
Atoms (fractional coordinates):
La: 0.000 0.000 0.000
Re: 0.500 0.500 0.000
Sb: 0.000 0.500 0.500
Sb: 0.500 0.000 0.500
Rh: 0.000 0.000 0.500

Symmetry: No. 123
Uncorrected formation energy: 0.650 eV/atom
Volume: 26.8 Å³/atom
M_tot: 2.554 Bohr magnetons per cell
Calculated total energy: -29.722 eV per formula unit
Crystal system: tetragonal

***

Compound: LaRe2SbRh
Source: Alexandria
Functional: GGA-PBE
Structure: optimized geometry

a b c (Å): 4.819 4.819 5.763
angles (deg): 90.00 90.00 90.00
Atoms (fractional coordinates):
La: 0.000 0.000 0.000
Re: 0.000 0.500 0.500
Re: 0.500 0.000 0.500
Sb: 0.000 0.000 0.500
Rh: 0.500 0.500 0.000

Symmetry: No. 123
Uncorrected formation energy: 1.896 eV/atom
Volume: 26.8 Å³/atom
M_tot: 0.005 Bohr magnetons per cell
Calculated total energy: -31.819 eV per formula unit
Crystal system: tetragonal

***

Compound: La2ReSnRh
Source: Alexandria
Functional: GGA-PBE
Structure: optimized geometry

a b c (Å): 5.903 5.903 4.876
angles (deg): 90.00 90.00 90.00
Atoms (fractional coordinates):
La: 0.000 0.500 0.000
La: 0.500 0.000 0.000
Re: 0.000 0.000 0.500
Sn: 0.000 0.000 0.000
Rh: 0.500 0.500 0.500

DFT formation energy: 1184.2 meV/atom
Symmetry: No. 123
Volume: 34.0 Å³/atom
M_tot: 1.901 Bohr magnetons per cell
Calculated total energy: -27.736 eV per formula unit
Crystal system: tetragonal